VASP calculation (PBE) on TiZnPd4 after structural relaxation.

Lattice parameters (Å, degrees): 3.205 3.205 8.927 90.00 90.00 90.00
Atoms (fractional coordinates):
Ti  0.000  0.000  0.000
Zn  0.500  0.500  0.500
Pd  0.000  0.000  0.342
Pd  0.000  0.000  0.658
Pd  0.500  0.500  0.155
Pd  0.500  0.500  0.845

N(E_F): 2.33 states/eV per cell
Energy of formation: -490 meV/atom
Energy: -32.878 eV for the cell shown